(1)
The following is a PBE-GGA calculation of crystalline ZrInAgAu at its relaxed geometry, from OQMD via LeMat-Bulk.

Cell lengths 6.8259, 6.8259, 6.8259 Å; angles 90.00, 90.00, 90.00 degrees
With the nearest neighbours (Å) after each atom.
Space group F-43m (No. 216)
Symmetry-distinct sites (fractional):
Zr: 0.0000 0.0000 0.0000  4 In 2.96, 4 Au 2.96
In: 0.2500 0.2500 0.2500  4 Zr 2.96, 4 Ag 2.96
Ag: 0.0000 0.0000 0.5000  4 In 2.96, 4 Au 2.96
Au: 0.2500 0.2500 0.7500  4 Ag 2.96, 4 Zr 2.96

(2)
The following is a PBE-GGA calculation of crystalline ZrInAgAu at its relaxed geometry, from OQMD via LeMat-Bulk.

Cell lengths 6.8096, 6.8096, 6.8096 Å; angles 90.00, 90.00, 90.00 degrees
With the nearest neighbours (Å) after each atom.
Space group F-43m (No. 216)
Symmetry-distinct sites (fractional):
Zr: 0.0000 0.0000 0.0000  4 In 2.95, 4 Ag 2.95
In: 0.2500 0.2500 0.7500  4 Zr 2.95, 4 Au 2.95
Ag: 0.2500 0.2500 0.2500  4 Zr 2.95, 4 Au 2.95
Au: 0.0000 0.0000 0.5000  4 In 2.95, 4 Ag 2.95

(3)
The following is a PBE-GGA calculation of crystalline ZrInAgAu at its relaxed geometry, from OQMD via LeMat-Bulk.

Cell lengths 6.8102, 6.8102, 6.8102 Å; angles 90.00, 90.00, 90.00 degrees
With the nearest neighbours (Å) after each atom.
Space group F-43m (No. 216)
Symmetry-distinct sites (fractional):
Zr: 0.0000 0.0000 0.0000  4 Au 2.95, 4 Ag 2.95
In: 0.0000 0.0000 0.5000  4 Ag 2.95, 4 Au 2.95
Ag: 0.2500 0.2500 0.2500  4 Zr 2.95, 4 In 2.95
Au: 0.2500 0.2500 0.7500  4 Zr 2.95, 4 In 2.95

Result of the stability comparison: (3) is the most stable of them.

(1)
The following is a PBE-GGA calculation of crystalline K2AgAuS2 at its relaxed geometry, from OQMD via LeMat-Bulk.

Cell lengths 4.3535, 4.3535, 9.4170 Å; angles 90.00, 90.00, 120.00 degrees
With the nearest neighbours (Å) after each atom.
Space group P-6m2 (No. 187)
Symmetry-distinct sites (fractional):
K: 0.0000 0.0000 0.2490  6 S 3.44-3.45, 3 Ag 3.44, 3 Au 3.45
Ag: 0.3333 0.6667 0.0000  3 S 2.51
Au: 0.6667 0.3333 0.5000  3 S 2.51
S: 0.3333 0.6667 0.5000  3 Au 2.51
S: 0.6667 0.3333 0.0000  3 Ag 2.51

(2)
The following is a PBE-GGA calculation of crystalline K2AgAuS2 at its relaxed geometry, from OQMD via LeMat-Bulk.

Cell lengths 8.0765, 6.4249, 6.5259 Å; angles 90.00, 91.44, 90.00 degrees
With the nearest neighbours (Å) after each atom.
Space group C2/m (No. 12)
Symmetry-distinct sites (fractional):
K: 0.1284 0.0000 0.2418  5 S 3.28-3.52, 1 Ag 3.41, 1 Au 3.43
Ag: 0.0000 0.5000 0.5000  2 S 2.38
Au: 0.0000 0.5000 0.0000  2 S 2.34
S: 0.2109 0.5000 0.2521  1 Au 2.34, 1 Ag 2.38

Result of the stability comparison: (2) is the most stable of them.

(1)
The following is a PBE-GGA calculation of crystalline KAgSbAu at its relaxed geometry, from OQMD via LeMat-Bulk.

Cell lengths 7.2473, 7.2473, 7.2473 Å; angles 90.00, 90.00, 90.00 degrees
With the nearest neighbours (Å) after each atom.
Space group F-43m (No. 216)
Symmetry-distinct sites (fractional):
K: 0.0000 0.0000 0.0000  4 Sb 3.14, 4 Ag 3.14
Ag: 0.2500 0.2500 0.7500  4 K 3.14, 4 Au 3.14
Sb: 0.2500 0.2500 0.2500  4 K 3.14, 4 Au 3.14
Au: 0.0000 0.0000 0.5000  4 Sb 3.14, 4 Ag 3.14

(2)
The following is a PBE-GGA calculation of crystalline KAgSbAu at its relaxed geometry, from OQMD via LeMat-Bulk.

Cell lengths 7.2863, 7.2863, 7.2863 Å; angles 90.00, 90.00, 90.00 degrees
With the nearest neighbours (Å) after each atom.
Space group F-43m (No. 216)
Symmetry-distinct sites (fractional):
K: 0.0000 0.0000 0.0000  4 Ag 3.16, 4 Au 3.16
Ag: 0.2500 0.2500 0.2500  4 Sb 3.16, 4 K 3.16
Sb: 0.0000 0.0000 0.5000  4 Au 3.16, 4 Ag 3.16
Au: 0.2500 0.2500 0.7500  4 K 3.16, 4 Sb 3.16

(3)
The following is a PBE-GGA calculation of crystalline KAgSbAu at its relaxed geometry, from OQMD via LeMat-Bulk.

Cell lengths 7.2957, 7.2957, 7.2957 Å; angles 90.00, 90.00, 90.00 degrees
With the nearest neighbours (Å) after each atom.
Space group F-43m (No. 216)
Symmetry-distinct sites (fractional):
K: 0.0000 0.0000 0.0000  4 Sb 3.16, 4 Au 3.16
Ag: 0.0000 0.0000 0.5000  4 Sb 3.16, 4 Au 3.16
Sb: 0.2500 0.2500 0.2500  4 K 3.16, 4 Ag 3.16
Au: 0.2500 0.2500 0.7500  4 K 3.16, 4 Ag 3.16

Result of the stability comparison: (2) is the most stable of them.